Entry from the Alexandria database: Ca2RhI after structural relaxation (GGA-PBE).

Cell: 7.0028 7.0028 7.0028 Å, 113.45 113.45 101.77°
Last column: nearest neighbours and their distance in Å.
Element x y z (fractional)
Ca: 0.0676 0.6250 0.9426  2 Rh 2.66
Ca: 0.3750 0.3176 0.4426  2 Rh 2.66
Ca: 0.6824 0.1250 0.0574  2 Rh 2.66
Ca: 0.8750 0.9324 0.5574  2 Rh 2.66
Rh: 0.0000 0.0000 0.0000  4 Ca 2.66
Rh: 0.7500 0.2500 0.5000  4 Ca 2.66
I: 0.2500 0.7500 0.5000  4 Ca 3.24
I: 0.5000 0.5000 0.0000  4 Ca 3.24

## Properties
Energy relative to the lowest polymorph listed for this composition, meV per atom: 265.7
Formation energy from raw total energies, eV/atom: -0.456
Spin magnetization, μB per atom: 0.000
Uncorrected energy, eV for the cell shown: -29.5
D(E_F), states/eV/f.u.: 0.00


Entry from the Alexandria database: Ca2RhI after structural relaxation (GGA-PBE).

Cell: 5.2791 5.2791 3.6530 Å, 90.00 90.00 90.00°
Last column: nearest neighbours and their distance in Å.
Element x y z (fractional)
Ca: 0.0000 0.5000 0.0000  4 I 3.21, 4 Rh 3.21
Ca: 0.5000 0.0000 0.0000  4 I 3.21, 4 Rh 3.21
Rh: 0.0000 0.0000 0.5000  8 Ca 3.21
I: 0.5000 0.5000 0.5000  8 Ca 3.21

## Properties
Energy relative to the lowest polymorph listed for this composition, meV per atom: 206.7
Formation energy from raw total energies, eV/atom: -0.515
Spin magnetization, μB per atom: 0.000
Uncorrected energy, eV for the cell shown: -15.0
D(E_F), states/eV/f.u.: 0.36